Entry 1:
Te2RuWI | meta-GGA SCAN | single point on PBEsol structure

a = 5.063 Å, b = 5.063 Å, c = 5.160 Å
α = 90.00°, β = 90.00°, γ = 90.00°
Sites, in units of the cell vectors:
Te (0.000, 0.500, 0.000)
Te (0.500, 0.000, 0.000)
Ru (0.000, 0.000, 0.000)
W (0.500, 0.500, 0.500)
I (0.000, 0.000, 0.500)

Output
As for the calculated density: 8.37 g cm⁻³. The total energy comes out at -208.33 eV/f.u.

Entry 2:
LiNiSe2Br | meta-GGA SCAN | single point on PBEsol structure

a = 4.490 Å, b = 4.490 Å, c = 4.925 Å
α = 90.00°, β = 90.00°, γ = 90.00°
Sites, in units of the cell vectors:
Li (0.000, 0.000, 0.000)
Ni (0.500, 0.500, 0.500)
Se (0.000, 0.500, 0.000)
Se (0.500, 0.000, 0.000)
Br (0.000, 0.000, 0.500)

Output
As for the calculated density: 5.08 g cm⁻³. The total energy comes out at -75.82 eV/f.u.

Entry 3:
HfNbIrBr2 | meta-GGA SCAN | single point on PBEsol structure

a = 4.985 Å, b = 4.985 Å, c = 4.945 Å
α = 90.00°, β = 90.00°, γ = 90.00°
Sites, in units of the cell vectors:
Hf (0.000, 0.000, 0.000)
Nb (0.500, 0.500, 0.500)
Ir (0.000, 0.000, 0.500)
Br (0.000, 0.500, 0.000)
Br (0.500, 0.000, 0.000)

Output
As for the calculated density: 8.42 g cm⁻³. The total energy comes out at -202.15 eV/f.u.

Entry 4:
GaCo3H | meta-GGA SCAN | single point on PBEsol structure

a = 3.570 Å, b = 3.570 Å, c = 3.570 Å
α = 90.00°, β = 90.00°, γ = 90.00°
Sites, in units of the cell vectors:
Ga (0.000, 0.000, 0.000)
Co (0.000, 0.500, 0.500)
Co (0.500, 0.000, 0.500)
Co (0.500, 0.500, 0.000)
H (0.500, 0.500, 0.500)

Output
As for the calculated density: 9.03 g cm⁻³. The total energy comes out at -71.85 eV/f.u.

Entry 5:
LaReSb2 | meta-GGA SCAN | single point on PBEsol structure

a = 7.053 Å, b = 7.053 Å, c = 7.053 Å
α = 90.00°, β = 90.00°, γ = 90.00°
Sites, in units of the cell vectors:
La (0.000, 0.000, 0.000)
La (0.000, 0.500, 0.500)
La (0.500, 0.000, 0.500)
La (0.500, 0.500, 0.000)
Re (0.000, 0.000, 0.500)
Re (0.000, 0.500, 0.000)
Re (0.500, 0.000, 0.000)
Re (0.500, 0.500, 0.500)
Sb (0.250, 0.250, 0.250)
Sb (0.250, 0.250, 0.750)
Sb (0.250, 0.750, 0.250)
Sb (0.250, 0.750, 0.750)
Sb (0.750, 0.250, 0.250)
Sb (0.750, 0.250, 0.750)
Sb (0.750, 0.750, 0.250)
Sb (0.750, 0.750, 0.750)

Output
As for the calculated density: 10.77 g cm⁻³. The total energy comes out at -188.75 eV/f.u. The calculation puts the offset from the most stable computed form at 0 meV/atom.

Entry 6:
Al3SbN | meta-GGA SCAN | single point on PBEsol structure

a = 5.322 Å, b = 5.322 Å, c = 5.322 Å
α = 90.00°, β = 90.00°, γ = 90.00°
Sites, in units of the cell vectors:
Al (0.000, 0.000, 0.500)
Al (0.000, 0.500, 0.000)
Al (0.500, 0.000, 0.000)
Sb (0.000, 0.000, 0.000)
N (0.500, 0.500, 0.500)

Output
As for the calculated density: 2.39 g cm⁻³. The total energy comes out at -60.30 eV/f.u.

Entry 7:
MgZr2Zn2 | meta-GGA SCAN | single point on PBEsol structure

a = 3.300 Å, b = 3.300 Å, c = 18.353 Å
α = 90.00°, β = 90.00°, γ = 90.00°
Sites, in units of the cell vectors:
Mg (0.000, 0.000, 0.000)
Mg (0.500, 0.500, 0.500)
Zr (0.000, 0.000, 0.385)
Zr (0.000, 0.000, 0.615)
Zr (0.500, 0.500, 0.115)
Zr (0.500, 0.500, 0.885)
Zn (0.000, 0.500, 0.250)
Zn (0.000, 0.500, 0.750)
Zn (0.500, 0.000, 0.250)
Zn (0.500, 0.000, 0.750)

Output
As for the calculated density: 5.61 g cm⁻³. The total energy comes out at -92.36 eV/f.u.

Entry 8:
LiCdPb2 | meta-GGA SCAN | single point on PBEsol structure

a = 4.606 Å, b = 4.854 Å, c = 8.600 Å
α = 90.00°, β = 90.00°, γ = 90.00°
Sites, in units of the cell vectors:
Li (0.000, 0.000, 0.000)
Li (0.500, 0.500, 0.000)
Cd (0.000, 0.000, 0.500)
Cd (0.500, 0.500, 0.500)
Pb (0.000, 0.500, 0.233)
Pb (0.000, 0.500, 0.767)
Pb (0.500, 0.000, 0.233)
Pb (0.500, 0.000, 0.767)

Output
As for the calculated density: 9.22 g cm⁻³. The total energy comes out at -184.83 eV/f.u.

Entry 9:
LaAgGeW2 | meta-GGA SCAN | single point on PBEsol structure

a = 4.645 Å, b = 4.645 Å, c = 5.453 Å
α = 90.00°, β = 90.00°, γ = 90.00°
Sites, in units of the cell vectors:
La (0.000, 0.000, 0.000)
Ag (0.500, 0.500, 0.000)
Ge (0.000, 0.000, 0.500)
W (0.000, 0.500, 0.500)
W (0.500, 0.000, 0.500)

Output
As for the calculated density: 9.70 g cm⁻³. The total energy comes out at -226.30 eV/f.u.

Entry 10:
Zn2InPtCl | meta-GGA SCAN | single point on PBEsol structure

a = 4.754 Å, b = 4.754 Å, c = 4.632 Å
α = 90.00°, β = 90.00°, γ = 90.00°
Sites, in units of the cell vectors:
Zn (0.000, 0.500, 0.000)
Zn (0.500, 0.000, 0.000)
In (0.000, 0.000, 0.500)
Pt (0.500, 0.500, 0.500)
Cl (0.500, 0.500, 0.000)

Output
As for the calculated density: 7.55 g cm⁻³. The total energy comes out at -135.19 eV/f.u.

Entry 11:
Mn2FeTc | meta-GGA SCAN | single point on PBEsol structure

a = 2.522 Å, b = 2.522 Å, c = 7.094 Å
α = 90.00°, β = 90.00°, γ = 90.00°
Sites, in units of the cell vectors:
Mn (0.000, 0.000, 0.000)
Mn (0.500, 0.500, 0.231)
Fe (0.000, 0.000, 0.463)
Tc (0.500, 0.500, 0.729)

Output
As for the calculated density: 9.71 g cm⁻³. The total energy comes out at -89.38 eV/f.u.

Entry 12:
Nd2CdCu2 | meta-GGA SCAN | single point on PBEsol structure

a = 4.237 Å, b = 14.239 Å, c = 3.640 Å
α = 90.00°, β = 90.00°, γ = 90.00°
Sites, in units of the cell vectors:
Nd (0.000, 0.133, 0.000)
Nd (0.000, 0.867, 0.000)
Nd (0.500, 0.367, 0.000)
Nd (0.500, 0.633, 0.000)
Cd (0.000, 0.500, 0.500)
Cd (0.500, 0.000, 0.500)
Cu (0.000, 0.298, 0.500)
Cu (0.000, 0.702, 0.500)
Cu (0.500, 0.202, 0.500)
Cu (0.500, 0.798, 0.500)

Output
As for the calculated density: 7.98 g cm⁻³. The total energy comes out at -149.56 eV/f.u.

Entry 13:
CsMgPH12O10 | meta-GGA SCAN | single point on PBEsol structure

a = 7.056 Å, b = 7.056 Å, c = 7.056 Å
α = 60.00°, β = 60.00°, γ = 60.00°
Sites, in units of the cell vectors:
Cs (0.000, 0.000, 0.000)
Mg (0.750, 0.750, 0.750)
P (0.500, 0.500, 0.500)
H (0.132, 0.486, 0.486)
H (0.132, 0.486, 0.895)
H (0.132, 0.895, 0.486)
H (0.486, 0.132, 0.486)
H (0.486, 0.132, 0.895)
H (0.486, 0.486, 0.132)
H (0.486, 0.486, 0.895)
H (0.486, 0.895, 0.132)
H (0.486, 0.895, 0.486)
H (0.895, 0.132, 0.486)
H (0.895, 0.486, 0.132)
H (0.895, 0.486, 0.486)
O (0.410, 0.410, 0.410)
O (0.410, 0.410, 0.770)
O (0.410, 0.770, 0.410)
O (0.542, 0.542, 0.958)
O (0.542, 0.958, 0.542)
O (0.542, 0.958, 0.958)
O (0.770, 0.410, 0.410)
O (0.958, 0.542, 0.542)
O (0.958, 0.542, 0.958)
O (0.958, 0.958, 0.542)

Output
As for the calculated density: 2.41 g cm⁻³. The total energy comes out at -195.94 eV/f.u.

Entry 14:
Hf2Ga2Ir | meta-GGA SCAN | single point on PBEsol structure

a = 6.496 Å, b = 6.496 Å, c = 3.956 Å
α = 90.00°, β = 90.00°, γ = 90.00°
Sites, in units of the cell vectors:
Hf (0.173, 0.327, 0.000)
Hf (0.327, 0.827, 0.000)
Hf (0.673, 0.173, 0.000)
Hf (0.827, 0.673, 0.000)
Ga (0.132, 0.632, 0.500)
Ga (0.368, 0.132, 0.500)
Ga (0.632, 0.868, 0.500)
Ga (0.868, 0.368, 0.500)
Ir (0.000, 0.000, 0.500)
Ir (0.500, 0.500, 0.500)

Output
As for the calculated density: 13.70 g cm⁻³. The total energy comes out at -233.24 eV/f.u.